! Ca2W2O7 PBE with a Hubbard U optimized geometry; values from VASP
&SYSTEM
  ibrav = 0, nat = 22, ntyp = 3
/
ATOMIC_SPECIES
O 16.00 O.upf
W 183.84 W.upf
Ca 40.08 Ca.upf
CELL_PARAMETERS angstrom
6.4568 0.0000 3.7278
2.1523 6.0875 3.7278
0.0000 0.0000 7.4556
ATOMIC_POSITIONS angstrom
O 2.9775 4.9205 5.1571
O 2.9775 0.3549 2.2985
O 5.6316 1.1670 9.7542
O 6.9586 4.9205 7.4556
O 4.3045 3.0438 7.4556
O 3.8027 2.6889 3.7278
O 1.3271 2.6889 5.1571
O 6.4568 4.5656 11.1835
O 1.3271 2.6889 2.2985
O 5.6316 1.1670 5.1571
O 0.5018 0.3549 3.7278
O 1.6504 1.1670 7.4556
O 2.9775 0.3549 5.1571
O 2.9775 4.9205 9.7542
W 4.3045 0.7609 3.7278
W 1.0761 0.7609 5.5917
W 2.1523 3.8047 3.7278
W 1.0761 0.7609 1.8639
Ca 2.1523 3.8047 7.4556
Ca 5.3806 3.8047 5.5917
Ca 4.3045 0.7609 7.4556
Ca 5.3806 3.8047 9.3196
! DFT total energy ... -7.237 eV per atom